NaAsPd4 | Alexandria | GGA-PBE | optimized geometry; formation enthalpy at 0 K = -1.09 eV/f.u.; total DFT energy (no corrections) = -55.7 eV/cell
1.0
5.844 -0.001 0.005
0.000 5.426 0.621
-2.916 -1.467 6.549
Na As Pd
2 2 8
Direct
0.105 0.250 0.000
0.895 0.750 0.000
0.000 0.500 0.500
0.500 0.000 0.500
0.706 0.402 0.640
0.933 0.902 0.640
0.463 0.087 0.818
0.294 0.598 0.360
0.067 0.098 0.360
0.537 0.913 0.182
0.647 0.413 0.181
0.353 0.587 0.819

Sr2Al4SiAg3 | Alexandria | GGA-PBE | optimized geometry; total DFT energy (no corrections) = -34.8 eV/cell; formation energy without anion corrections = -0.246 eV per atom
1.0
-4.137 0.478 1.424
-0.306 -4.353 0.573
3.766 1.125 10.565
Al Sr Ag Si
4 2 3 1
Direct
0.500 0.500 0.000
0.000 0.500 0.370
0.000 0.000 0.000
0.500 0.000 0.630
0.000 0.500 0.745
0.500 0.000 0.255
0.500 0.000 0.864
0.000 0.000 0.500
0.000 0.500 0.136
0.500 0.500 0.500

SiTe2W | Alexandria | GGA-PBE | optimized geometry; total DFT energy (no corrections) = -22.4 eV/cell; formation energy without anion corrections = 0.568 eV per atom
1.0
-0.033 -7.806 -6.035
0.137 -9.399 -3.000
-2.903 -8.416 -4.255
Si W Te
1 1 2
Direct
0.000 0.000 0.000
0.500 0.500 0.500
0.899 0.899 0.899
0.101 0.101 0.101

LiSm3Te2Cl6 | Alexandria | GGA-PBE | optimized geometry; total DFT energy (no corrections) = -55.9 eV/cell; formation energy without anion corrections = -1.871 eV per atom
1.0
-0.851 0.648 6.495
-4.822 -6.873 0.054
7.968 -0.447 1.834
Sm Cl Te Li
3 6 2 1
Direct
0.500 0.000 0.500
0.000 0.500 0.000
0.500 0.500 0.500
0.735 0.336 0.148
0.265 0.664 0.852
0.735 0.812 0.148
0.265 0.188 0.852
0.682 0.839 0.678
0.318 0.161 0.322
0.795 0.314 0.628
0.205 0.686 0.372
0.500 0.000 0.000

Sn2HgTe3 | Alexandria | GGA-PBE | optimized geometry; total DFT energy (no corrections) = -75.6 eV/cell; formation energy without anion corrections = -0.195 eV per atom
1.0
6.292 -0.011 0.000
0.014 8.928 0.000
0.000 0.000 13.391
Te Sn Hg
12 8 4
Direct
0.250 0.127 0.251
0.251 0.624 0.583
0.251 0.124 0.917
0.750 0.873 0.749
0.250 0.627 0.249
0.250 0.129 0.582
0.749 0.876 0.083
0.750 0.371 0.082
0.750 0.871 0.418
0.750 0.373 0.751
0.250 0.629 0.918
0.749 0.376 0.417
0.250 0.376 0.756
0.250 0.876 0.744
0.250 0.873 0.420
0.750 0.127 0.580
0.750 0.124 0.256
0.750 0.627 0.920
0.750 0.624 0.244
0.250 0.373 0.080
0.752 0.119 0.910
0.752 0.619 0.590
0.248 0.381 0.410
0.248 0.881 0.090

YTe2Pb | Alexandria | GGA-PBE | optimized geometry; total DFT energy (no corrections) = -19.8 eV/cell; formation energy without anion corrections = -0.831 eV per atom
1.0
8.157 -0.094 0.827
7.161 3.906 0.827
0.682 0.170 4.189
Y Te Pb
1 2 1
Direct
0.549 0.549 0.452
0.200 0.200 0.300
0.976 0.976 0.024
0.776 0.776 0.724

Li3CaHg9 | Alexandria | GGA-PBE | optimized geometry; formation enthalpy at 0 K = -3.27 eV/f.u.; total DFT energy (no corrections) = -13.7 eV/cell
1.0
0.968 -4.116 4.286
6.295 -3.633 -1.036
3.978 2.871 6.088
Li Hg Ca
3 9 1
Direct
0.500 0.500 0.000
0.500 0.000 0.500
0.000 0.000 0.500
0.682 0.320 0.349
0.000 0.500 0.000
0.968 0.680 0.349
0.464 0.784 0.221
0.315 0.216 0.221
0.032 0.320 0.651
0.318 0.680 0.651
0.536 0.216 0.779
0.685 0.784 0.779
0.000 0.000 0.000

Cu3SbCl2F6 | Alexandria | GGA-PBE | optimized geometry; total DFT energy (no corrections) = -49.0 eV/cell; formation energy without anion corrections = -1.468 eV per atom
1.0
-4.673 -1.819 -1.685
-0.242 -4.129 5.126
-0.556 7.322 1.640
Cl F Cu Sb
2 6 3 1
Direct
0.230 0.671 0.343
0.770 0.329 0.657
0.272 0.119 0.821
0.728 0.298 0.179
0.272 0.702 0.821
0.728 0.881 0.179
0.284 0.088 0.177
0.716 0.912 0.823
0.500 0.500 0.500
0.000 0.500 0.000
0.500 0.000 0.500
0.500 0.000 0.000

DyBe17Nb | Alexandria | GGA-PBE | optimized geometry; formation enthalpy at 0 K = -3.18 eV/f.u.; total DFT energy (no corrections) = -81.2 eV/cell
1.0
-2.324 -3.091 -4.171
1.227 -5.122 2.148
-5.014 -0.929 2.519
Be Dy Nb
17 1 1
Direct
0.844 0.339 0.339
0.284 0.712 0.003
0.712 0.284 0.003
0.003 0.284 0.712
0.712 0.003 0.284
0.004 0.004 0.498
0.339 0.339 0.844
0.654 0.162 0.654
0.654 0.654 0.162
0.339 0.844 0.339
0.162 0.654 0.654
0.003 0.712 0.284
0.099 0.099 0.099
0.004 0.498 0.004
0.284 0.003 0.712
0.498 0.004 0.004
0.908 0.908 0.908
0.662 0.662 0.662
0.335 0.335 0.335

VCrSe2 | Alexandria | GGA-PBE | optimized geometry; ΔE to the lowest computed polymorph = 0.000 eV per atom; total DFT energy (no corrections) = -53.4 eV/cell; formation energy without anion corrections = -0.253 eV per atom
1.0
5.797 0.000 0.000
0.000 5.797 0.000
2.898 2.898 5.824
Se Cr V
4 2 2
Direct
0.132 0.625 0.250
0.375 0.382 0.750
0.618 0.125 0.250
0.875 0.868 0.750
0.750 0.250 0.500
0.000 0.000 0.000
0.250 0.750 0.500
0.500 0.500 0.000

Sr2ReSi | Alexandria | GGA-PBE | optimized geometry; total DFT energy (no corrections) = -18.0 eV/cell; formation energy without anion corrections = 0.799 eV per atom
1.0
-1.748 -4.167 -0.789
4.082 -1.884 0.905
-1.145 -0.357 4.425
Sr Si Re
2 1 1
Direct
0.000 0.000 0.000
0.500 0.500 0.000
0.000 0.500 0.500
0.500 0.000 0.500

TaWC | Alexandria | GGA-PBE | optimized geometry; ΔE to the lowest computed polymorph = 0.000 eV per atom; formation enthalpy at 0 K = -0.97 eV/f.u.; total DFT energy (no corrections) = -35.0 eV/cell
1.0
3.100 0.000 0.000
-1.550 2.684 0.000
0.000 0.000 4.801
W Ta C
1 1 1
Direct
0.333 0.667 0.751
0.667 0.333 0.255
0.000 0.000 0.994